The following is a DFT calculation (PBE) of an optimized crystal structure of RbBeTlHg2.

Properties
E_form	0.08	eV/atom

Geometry as POSCAR:
```
RbBeTlHg2
1.0
5.223 0.000 0.000
0.000 5.223 0.000
0.000 0.000 5.127
Rb Be Tl Hg
1 1 1 2
Direct
0.000 0.000 0.000 Rb
0.500 0.500 0.500 Be
0.500 0.500 0.000 Tl
0.000 0.500 0.500 Hg
0.500 0.000 0.500 Hg
```